1.
Rb2ZrOsI6: relaxed, GGA-PBE.

Calculated values
Total DFT energy (no corrections), eV/atom: -3.557
Symmetry: I4/mmm
Uncorrected formation energy, meV/atom: -456

Unit cell a=8.114 b=8.114 c=8.114 alpha=119.78 beta=119.78 gamma=90.38
Atoms (fractional coordinates):
Rb: 0.250 0.750 0.500
Rb: 0.750 0.250 0.500
Zr: 0.000 0.000 0.000
Os: 0.500 0.500 0.000
I: 0.257 0.257 0.514
I: 0.257 0.743 0.000
I: 0.258 0.258 0.000
I: 0.742 0.742 0.000
I: 0.743 0.257 0.000
I: 0.743 0.743 0.486


2.
ReOsI3: relaxed, GGA-PBE.

Calculated values
Total DFT energy (no corrections), eV/atom: -3.698
Symmetry: Pm-3m
Uncorrected formation energy, meV/atom: 1967
Energy above the most stable polymorph in this dataset, meV/atom: 204.5

Unit cell a=5.427 b=5.427 c=5.427 alpha=90.00 beta=90.00 gamma=90.00
Atoms (fractional coordinates):
Re: 0.000 0.000 0.000
Os: 0.500 0.500 0.500
I: 0.000 0.000 0.500
I: 0.000 0.500 0.000
I: 0.500 0.000 0.000


3.
ReOsI2: relaxed, GGA-PBE.

Calculated values
Total DFT energy (no corrections), eV/atom: -4.958
Symmetry: I-42d
Uncorrected formation energy, meV/atom: 1737
Energy above the most stable polymorph in this dataset, meV/atom: 0.0

Unit cell a=7.224 b=7.224 c=7.224 alpha=131.14 beta=131.14 gamma=71.60
Atoms (fractional coordinates):
Re: 0.000 0.000 0.000
Re: 0.750 0.250 0.500
Os: 0.250 0.750 0.500
Os: 0.500 0.500 0.000
I: 0.127 0.625 0.002
I: 0.375 0.377 0.502
I: 0.623 0.125 0.998
I: 0.875 0.873 0.498